[1]
First-principles (GGA-PBE) data for crystalline Sc8CdSn2 at its relaxed geometry, as listed in Alexandria.

```
Sc8CdSn2
1.0
4.0723 -6.9255 0.0000
4.0723 6.9255 0.0000
-2.4508 0.0000 4.7220
Sc Cd Sn
8 1 2
Cartesian
0.1922 1.5778 3.0068
4.0723 3.9759 0.0000
0.1922 -1.5778 3.0068
2.8050 0.0000 0.9417
2.8888 0.0000 3.7803
5.5016 1.5778 1.7152
4.0723 -3.9759 0.0000
5.5016 -1.5778 1.7152
0.0000 0.0000 0.0000
2.8469 2.7090 2.3610
2.8469 -2.7090 2.3610
```

Calculated values
- Theoretical density: 4.42 g/cm³
- Space group: C2/m (12)

[2]
First-principles (GGA-PBE) data for crystalline ScCd2Sn2 at its relaxed geometry, as listed in Alexandria.

```
ScCd2Sn2
1.0
-2.0522 2.0522 7.5425
2.0522 -2.0522 7.5425
2.0522 2.0522 -7.5425
Sc Cd Sn
1 2 2
Cartesian
0.0000 0.0000 0.0000
2.0522 0.0000 3.7712
0.0000 2.0522 3.7712
0.0000 0.0000 6.0852
0.0000 0.0000 8.9997
```

Calculated values
- Theoretical density: 6.63 g/cm³
- Space group: I4/mmm (139)
- Energy above the lowest structure with this stoichiometry: 22.0 kJ/mol of atoms

[3]
First-principles (GGA-PBE) data for crystalline ScCd2Sn at its relaxed geometry, as listed in Alexandria.

```
ScCd2Sn
1.0
1.6151 0.9325 11.4165
-1.6151 0.9325 11.4165
0.0000 -1.8649 11.4165
Sc Cd Sn
1 2 1
Cartesian
0.0000 0.0000 0.0000
0.0000 0.0000 2.9765
0.0000 0.0000 31.2732
0.0000 0.0000 17.1248
```

Calculated values
- Theoretical density: 6.25 g/cm³
- Space group: R-3m (166)

[4]
First-principles (GGA-PBE) data for crystalline Sc6Cd12Sn at its relaxed geometry, as listed in Alexandria.

```
Sc6Cd12Sn
1.0
5.4623 3.1537 4.2375
-5.4623 3.1537 4.2375
0.0000 -6.3073 4.2375
Sc Cd Sn
6 12 1
Cartesian
-0.8945 -2.8937 5.8079
-2.9532 -0.6722 6.9044
-2.0588 2.2214 5.8079
2.0588 -2.2214 6.9044
2.9532 0.6722 5.8079
0.8944 2.8937 6.9044
-4.8943 1.1810 5.3465
-3.4699 -3.6481 7.3658
-1.8441 -0.3769 3.8885
1.4244 -4.8291 5.3465
1.2484 -1.4086 3.8885
0.5957 1.7855 3.8885
-0.5957 -1.7855 8.8239
-1.2484 1.4086 8.8239
-1.4244 4.8291 7.3658
1.8441 0.3769 8.8239
3.4699 3.6481 5.3465
4.8943 -1.1810 7.3658
0.0000 0.0000 6.3562
```

Calculated values
- Theoretical density: 6.59 g/cm³
- Space group: R-3 (148)

[5]
First-principles (GGA-PBE) data for crystalline Sc2CdSn at its relaxed geometry, as listed in Alexandria.

```
Sc2CdSn
1.0
3.6410 0.0000 0.0000
0.0000 3.6410 0.0000
0.0000 0.0000 6.7742
Sc Cd Sn
2 1 1
Cartesian
0.0000 0.0000 1.6960
0.0000 0.0000 5.0782
1.8205 1.8205 0.0000
1.8205 1.8205 3.3871
```

Calculated values
- Theoretical density: 5.94 g/cm³
- Space group: P4/mmm (123)

[6]
First-principles (GGA-PBE) data for crystalline Sc2Cd5Sn at its relaxed geometry, as listed in Alexandria.

```
Sc2Cd5Sn
1.0
6.3734 0.0000 0.0000
0.0000 12.7632 0.0000
0.0000 0.0000 4.3340
Sc Cd Sn
4 10 2
Cartesian
1.4206 1.4876 0.0000
1.7661 7.8692 0.0000
4.6073 4.8941 0.0000
4.9528 11.2757 0.0000
0.0000 6.3816 2.1670
0.1687 9.5131 2.1670
1.4342 4.6743 0.0000
1.7525 11.0559 0.0000
3.0180 3.1315 2.1670
3.1867 0.0000 2.1670
3.3554 9.6318 2.1670
4.6209 1.7073 0.0000
4.9392 8.0890 0.0000
6.2047 3.2501 2.1670
0.0000 0.0000 2.1670
3.1867 6.3816 2.1670
```

Calculated values
- Theoretical density: 7.26 g/cm³
- Space group: Pbam (55)

[7]
First-principles (GGA-PBE) data for crystalline ScCd4Sn at its relaxed geometry, as listed in Alexandria.

```
ScCd4Sn
1.0
0.0000 4.1352 4.1352
4.1352 0.0000 4.1352
4.1352 4.1352 0.0000
Sc Cd Sn
1 4 1
Cartesian
0.0000 0.0000 0.0000
3.0983 3.0983 3.0983
5.1721 5.1721 3.0983
5.1721 3.0983 5.1721
3.0983 5.1721 5.1721
6.2028 6.2028 6.2028
```

Calculated values
- Theoretical density: 7.20 g/cm³
- Space group: F-43m (216)

[8]
First-principles (GGA-PBE) data for crystalline ScCd2Sn2 at its relaxed geometry, as listed in Alexandria.

```
ScCd2Sn2
1.0
8.1136 0.0000 0.0000
0.0000 8.1136 0.0000
0.0000 0.0000 3.7514
Sc Cd Sn
2 4 4
Cartesian
0.0000 0.0000 0.0000
4.0568 4.0568 0.0000
1.0132 3.0436 0.0000
3.0436 7.1004 0.0000
5.0700 1.0132 0.0000
7.1004 5.0700 0.0000
1.4447 5.5015 1.8757
2.6121 1.4447 1.8757
5.5015 6.6689 1.8757
6.6689 2.6121 1.8757
```

Calculated values
- Theoretical density: 6.82 g/cm³
- Space group: P4/mbm (127)
- Energy above the lowest structure with this stoichiometry: 22.4 kJ/mol of atoms

[9]
First-principles (GGA-PBE) data for crystalline Sc3CdSn at its relaxed geometry, as listed in Alexandria.

```
Sc3CdSn
1.0
5.3531 0.0000 0.0000
0.0000 5.3531 0.0000
0.0000 0.0000 5.3531
Sc Cd Sn
3 1 1
Cartesian
0.0000 0.0000 2.6765
0.0000 2.6765 0.0000
2.6765 0.0000 0.0000
2.6765 2.6765 2.6765
0.0000 0.0000 0.0000
```

Calculated values
- Theoretical density: 3.96 g/cm³
- Space group: Pm-3m (221)
- Energy above the lowest structure with this stoichiometry: 31.0 kJ/mol of atoms

[10]
First-principles (GGA-PBE) data for crystalline Sc4Cd2Sn at its relaxed geometry, as listed in Alexandria.

```
Sc4Cd2Sn
1.0
2.4600 1.4203 8.0651
-2.4600 1.4203 8.0651
0.0000 -2.8406 8.0651
Sc Cd Sn
4 2 1
Cartesian
0.0000 0.0000 2.8504
0.0000 0.0000 8.9741
0.0000 0.0000 15.2212
0.0000 0.0000 21.3449
0.0000 0.0000 6.0728
0.0000 0.0000 18.1225
0.0000 0.0000 12.0976
```

Calculated values
- Theoretical density: 5.14 g/cm³
- Space group: R-3m (166)

[11]
First-principles (GGA-PBE) data for crystalline Sc2Cd3Sn3 at its relaxed geometry, as listed in Alexandria.

```
Sc2Cd3Sn3
1.0
4.4974 0.0000 0.0000
0.0000 4.6759 0.0000
0.0000 0.0000 8.6515
Sc Cd Sn
2 3 3
Cartesian
0.0000 0.0000 2.1042
0.0000 0.0000 6.5473
0.0000 2.3380 4.3258
2.2487 2.3380 2.2370
2.2487 2.3380 6.4146
0.0000 2.3380 0.0000
2.2487 0.0000 0.0000
2.2487 0.0000 4.3258
```

Calculated values
- Theoretical density: 7.15 g/cm³
- Space group: Pmmm (47)

[12]
First-principles (GGA-PBE) data for crystalline ThScCdSn at its relaxed geometry, as listed in Alexandria.

```
ThScCdSn
1.0
0.0000 3.7311 3.7311
3.7311 0.0000 3.7311
3.7311 3.7311 0.0000
Th Sc Cd Sn
1 1 1 1
Cartesian
0.0000 0.0000 0.0000
3.7311 3.7311 3.7311
5.5966 5.5966 5.5966
1.8655 1.8655 1.8655
```

Calculated values
- Theoretical density: 8.12 g/cm³
- Space group: F-43m (216)

[13]
First-principles (GGA-PBE) data for crystalline ScTiCdSn at its relaxed geometry, as listed in Alexandria.

```
ScTiCdSn
1.0
0.0000 3.4584 3.4584
3.4584 0.0000 3.4584
3.4584 3.4584 0.0000
Sc Ti Cd Sn
1 1 1 1
Cartesian
0.0000 0.0000 0.0000
3.4584 3.4584 3.4584
1.7292 1.7292 1.7292
5.1876 5.1876 5.1876
```

Calculated values
- Theoretical density: 6.50 g/cm³
- Space group: F-43m (216)

[14]
First-principles (GGA-PBE) data for crystalline TmScCdSn at its relaxed geometry, as listed in Alexandria.

```
TmScCdSn
1.0
0.0000 3.6229 3.6229
3.6229 0.0000 3.6229
3.6229 3.6229 0.0000
Tm Sc Cd Sn
1 1 1 1
Cartesian
0.0000 0.0000 0.0000
3.6229 3.6229 3.6229
5.4344 5.4344 5.4344
1.8115 1.8115 1.8115
```

Calculated values
- Theoretical density: 7.77 g/cm³
- Space group: F-43m (216)

[15]
First-principles (GGA-PBE) data for crystalline ScZnCdSn at its relaxed geometry, as listed in Alexandria.

```
ScZnCdSn
1.0
4.2529 0.0000 0.0000
0.0000 4.2574 0.0000
0.0000 0.0000 4.5273
Sc Zn Cd Sn
1 1 1 1
Cartesian
0.0000 0.0000 0.0000
0.0000 2.1287 2.2637
2.1264 0.0000 2.2637
2.1264 2.1287 0.0000
```

Calculated values
- Theoretical density: 6.92 g/cm³
- Space group: Pmmm (47)

[16]
First-principles (GGA-PBE) data for crystalline ZrScCdSn at its relaxed geometry, as listed in Alexandria.

```
ZrScCdSn
1.0
0.0000 3.5411 3.5411
3.5411 0.0000 3.5411
3.5411 3.5411 0.0000
Zr Sc Cd Sn
1 1 1 1
Cartesian
0.0000 0.0000 0.0000
3.5411 3.5411 3.5411
5.3116 5.3116 5.3116
1.7705 1.7705 1.7705
```

Calculated values
- Theoretical density: 6.87 g/cm³
- Space group: F-43m (216)

[17]
First-principles (GGA-PBE) data for crystalline Sr2ScCd at its relaxed geometry, as listed in Alexandria.

```
Sr2ScCd
1.0
5.2569 0.0000 0.0000
0.0000 2.0513 6.8202
0.0000 -2.0513 6.8202
Sr Sc Cd
2 1 1
Cartesian
0.0000 0.0000 0.0000
2.6285 0.0000 4.3651
0.0000 0.0000 9.7347
2.6285 0.0000 8.2096
```

Calculated values
- Theoretical density: 3.75 g/cm³
- Space group: Amm2 (38)
- Energy above the lowest structure with this stoichiometry: 9.0 kJ/mol of atoms

[18]
First-principles (GGA-PBE) data for crystalline SrScCd at its relaxed geometry, as listed in Alexandria.

```
SrScCd
1.0
4.8673 0.0000 0.0000
0.0000 4.8673 0.0000
0.0000 0.0000 8.1146
Sr Sc Cd
2 2 2
Cartesian
1.2168 1.2168 1.2163
3.6505 3.6505 6.8984
1.2168 3.6505 4.0573
3.6505 1.2168 4.0573
1.2168 1.2168 5.8198
3.6505 3.6505 2.2949
```

Calculated values
- Theoretical density: 4.23 g/cm³
- Space group: P4/nmm (129)
- Energy above the lowest structure with this stoichiometry: 0.0 kJ/mol of atoms

[19]
First-principles (GGA-PBE) data for crystalline Sr3ScCd at its relaxed geometry, as listed in Alexandria.

```
Sr3ScCd
1.0
6.2328 0.0000 0.0000
0.0000 6.2328 0.0000
0.0000 0.0000 6.2328
Sr Sc Cd
3 1 1
Cartesian
0.0000 0.0000 3.1164
0.0000 3.1164 0.0000
3.1164 0.0000 0.0000
3.1164 3.1164 3.1164
0.0000 0.0000 0.0000
```

Calculated values
- Theoretical density: 2.88 g/cm³
- Space group: Pm-3m (221)
- Energy above the lowest structure with this stoichiometry: 0.0 kJ/mol of atoms

[20]
First-principles (GGA-PBE) data for crystalline SrScCd at its relaxed geometry, as listed in Alexandria.

```
SrScCd
1.0
3.6804 0.0000 0.0000
-1.8402 3.1873 0.0000
0.0000 0.0000 8.0167
Sr Sc Cd
1 1 1
Cartesian
0.0000 0.0000 0.0000
1.8402 1.0624 4.9141
0.0000 2.1249 2.7295
```

Calculated values
- Theoretical density: 4.33 g/cm³
- Space group: P3m1 (156)
- Energy above the lowest structure with this stoichiometry: 24.2 kJ/mol of atoms

Number 1: energy of formation from the pure elements -0.20 eV per atom. Number 2: energy of formation from the pure elements -0.04 eV per atom. Number 3: energy of formation from the pure elements 0.21 eV per atom. Number 4: energy of formation from the pure elements -0.15 eV per atom. Number 5: energy of formation from the pure elements -0.42 eV per atom. Number 6: energy of formation from the pure elements -0.29 eV per atom. Number 7: energy of formation from the pure elements -0.01 eV per atom. Number 8: energy of formation from the pure elements -0.04 eV per atom. Number 9: energy of formation from the pure elements 0.26 eV per atom. Number 10: energy of formation from the pure elements -0.18 eV per atom. Number 11: energy of formation from the pure elements -0.33 eV per atom. Number 12: energy of formation from the pure elements -0.30 eV per atom. Number 13: energy of formation from the pure elements -0.22 eV per atom. Number 14: energy of formation from the pure elements -0.43 eV per atom. Number 15: energy of formation from the pure elements -0.34 eV per atom. Number 16: energy of formation from the pure elements -0.29 eV per atom. Number 17: energy of formation from the pure elements 0.07 eV per atom. Number 18: energy of formation from the pure elements -0.13 eV per atom. Number 19: energy of formation from the pure elements 0.37 eV per atom. Number 20: energy of formation from the pure elements 0.12 eV per atom.